Material: CaLa3In
Method: DFT, PBE
State: optimized geometry

Cell: 6.122 6.122 6.122 Å, 90.00 90.00 90.00°
Space group Pm-3m (No. 221)
Asymmetric unit:
1 Ca 0.000 0.000 0.000
2 La 0.000 0.500 0.500
3 In 0.500 0.500 0.500

**Crystal system**: cubic
**Energy of formation**: 0.225 eV per atom
**Energy above the most stable polymorph in this dataset**: 0 meV per atom
**Electronic total energy**: -3.680 eV/atom

Material: InHgPb2
Method: DFT, PBE
State: optimized geometry

Cell: 3.995 3.995 7.275 Å, 90.00 90.00 90.00°
Space group P4/mmm (No. 123)
Asymmetric unit:
1 In 0.000 0.000 0.000
2 Hg 0.000 0.000 0.500
3 Pb 0.500 0.500 0.257

**Crystal system**: tetragonal
**Energy of formation**: 0.039 eV per atom
**Energy above the most stable polymorph in this dataset**: 34 meV per atom
**Electronic total energy**: -2.575 eV/atom

Material: RbMnHg2I8
Method: DFT, PBE
State: optimized geometry

Cell: 7.441 7.543 9.940 Å, 79.53 71.73 76.66°
Space group P-1 (No. 2)
Asymmetric unit:
1 Rb 0.000 0.000 0.000
2 Mn 0.500 0.000 0.500
3 Hg 0.486 0.448 0.808
4 I 0.174 0.232 0.541
5 I 0.201 0.491 0.103
6 I 0.288 0.736 0.654
7 I 0.446 0.925 0.224

**Crystal system**: triclinic
**Formation energy (no corrections)**: -0.484 eV per atom
**Electronic total energy**: -2.413 eV/atom

Material: TiZnH3
Method: DFT, PBE
State: optimized geometry

Cell: 3.547 3.547 3.547 Å, 90.00 90.00 90.00°
Space group Pm-3m (No. 221)
Asymmetric unit:
1 Ti 0.000 0.000 0.000
2 Zn 0.500 0.500 0.500
3 H 0.000 0.000 0.500

**Crystal system**: cubic
**Electronic total energy**: -3.797 eV/atom

Material: Sc2PaAl
Method: DFT, PBE
State: optimized geometry

Cell: 4.541 4.541 4.289 Å, 90.00 90.00 90.00°
Space group P4/mmm (No. 123)
Asymmetric unit:
1 Sc 0.000 0.500 0.000
2 Pa 0.000 0.000 0.500
3 Al 0.500 0.500 0.500

**Crystal system**: tetragonal
**Energy of formation**: -0.080 eV per atom
**Energy above the most stable polymorph in this dataset**: 90 meV per atom
**Electronic total energy**: -6.556 eV/atom

Material: MgMnPb2
Method: DFT, PBE
State: optimized geometry

Cell: 3.393 4.119 6.870 Å, 90.00 92.36 90.00°
Space group P2/m (No. 10)
Asymmetric unit:
1 Mg 0.000 0.000 0.000
2 Mn 0.000 0.000 0.500
3 Pb 0.489 0.500 0.736

**Crystal system**: monoclinic
**Energy of formation**: 0.234 eV per atom
**Electronic total energy**: -4.311 eV/atom

Material: AcPr6Tm12
Method: DFT, PBE
State: optimized geometry

Cell: 14.6932 14.6932 10.9456 Å, 90.00 90.00 120.00°
Space group R-3m (No. 166, hexagonal axes)
Asymmetric unit:
1 Ac 0.0000 0.0000 0.0000
2 Pr 0.0650 0.5325 0.2278
3 Tm 0.0000 0.3882 0.5000
4 Tm 0.0805 0.1611 0.2712

**Crystal system**: trigonal
**Energy of formation**: 0.445 eV per atom
**Electronic total energy**: -4.105 eV/atom

Material: CdRe2GeSe
Method: DFT, PBE
State: optimized geometry

Cell: 4.605 4.605 5.058 Å, 90.00 90.00 90.00°
Space group P4/mmm (No. 123)
Asymmetric unit:
1 Cd 0.000 0.000 0.000
2 Re 0.000 0.500 0.500
3 Ge 0.500 0.500 0.000
4 Se 0.500 0.500 0.500

**Crystal system**: tetragonal
**Formation energy (no corrections)**: 1.532 eV per atom
**Electronic total energy**: -5.251 eV/atom

Material: Na2ReGeO
Method: DFT, PBE
State: optimized geometry

Cell: 4.182 4.182 4.822 Å, 90.00 90.00 90.00°
Space group P4/mmm (No. 123)
Asymmetric unit:
1 Na 0.000 0.500 0.000
2 Re 0.000 0.000 0.500
3 Ge 0.500 0.500 0.500
4 O 0.500 0.500 0.000

**Crystal system**: tetragonal
**Formation energy (no corrections)**: 0.380 eV per atom
**Electronic total energy**: -4.553 eV/atom

Material: PuZrAgAu
Method: DFT, PBE
State: optimized geometry

Cell: 7.104 7.104 7.104 Å, 90.00 90.00 90.00°
Space group F-43m (No. 216)
Asymmetric unit:
1 Pu 0.000 0.000 0.000
2 Zr 0.000 0.000 0.500
3 Ag 0.250 0.250 0.750
4 Au 0.250 0.250 0.250

**Crystal system**: cubic
**Energy of formation**: -0.084 eV per atom
**Electronic total energy**: -7.336 eV/atom

Material: RbLi2PtPb
Method: DFT, PBE
State: optimized geometry

Cell: 5.252 5.252 5.196 Å, 90.00 90.00 90.00°
Space group P4/mmm (No. 123)
Asymmetric unit:
1 Rb 0.000 0.000 0.000
2 Li 0.000 0.500 0.500
3 Pt 0.500 0.500 0.500
4 Pb 0.500 0.500 0.000

**Crystal system**: tetragonal
**Energy of formation**: -0.221 eV per atom
**Electronic total energy**: -3.130 eV/atom

> Which of these has the lowest electronic total energy?

PuZrAgAu